1.
! NbFeAu3, optimized geometry, DFT PBE; values from VASP
! ΔH_f (0 K) = 1.244 eV/atom
! theoretical density = 12.03 g cm⁻³
! offset from the most stable computed form = 0.00 eV/f.u.
&SYSTEM
  ibrav = 0, nat = 5, ntyp = 3
/
ATOMIC_SPECIES
Nb 92.91 Nb.upf
Fe 55.84 Fe.upf
Au 196.97 Au.upf
ATOMIC_POSITIONS angstrom
Nb 0.000 0.000 0.000
Fe 2.337 2.337 2.337
Au 0.000 2.337 2.337
Au 2.337 0.000 2.337
Au 2.337 2.337 0.000
CELL_PARAMETERS angstrom
4.674 0.000 0.000
0.000 4.674 0.000
0.000 0.000 4.674



2.
! Nb3FeAu, optimized geometry, DFT PBE; values from VASP
! ΔH_f (0 K) = 0.556 eV/atom
! theoretical density = 9.24 g cm⁻³
! offset from the most stable computed form = 0.00 eV/f.u.
&SYSTEM
  ibrav = 0, nat = 5, ntyp = 3
/
ATOMIC_SPECIES
Nb 92.91 Nb.upf
Fe 55.84 Fe.upf
Au 196.97 Au.upf
ATOMIC_POSITIONS angstrom
Nb 0.000 0.000 2.286
Nb 0.000 2.286 0.000
Nb 2.286 0.000 0.000
Fe 0.000 0.000 0.000
Au 2.286 2.286 2.286
CELL_PARAMETERS angstrom
4.571 0.000 0.000
0.000 4.571 0.000
0.000 0.000 4.571